Entry from Alexandria: crystalline BaMnW at its relaxed geometry (GGA-PBE).

Output
Calculated formation energy in eV per atom: 1.145
DFT total energy in Ry/atom: -0.5049
Distance to the lowest polymorph of the same formula in meV/atom: 302

Cell lengths 3.320, 3.320, 7.297 Å; angles 90.00, 90.00, 120.00 degrees
Fractional positions:
1 Ba 0.000 0.000 0.010
2 Mn 0.667 0.333 0.400
3 W 0.333 0.667 0.590